Record 1
Compound: TbCu9Ni3
Source: Alexandria via LeMat-Bulk
Functional: PBE
Structure: relaxed

Results
Its density of states at the Fermi level is 0.4732 states/eV/atom. As for the crystal system: monoclinic. Its space group is C2/m, No. 12.

Cell: 6.393 6.393 6.363 Å, 97.96 97.96 135.55°
Sites, in units of the cell vectors:
Tb 0.000 0.000 0.000
Cu 0.012 0.657 0.650
Cu 0.277 0.501 0.778
Cu 0.343 0.988 0.350
Cu 0.499 0.723 0.222
Cu 0.500 0.500 0.500
Cu 0.501 0.277 0.778
Cu 0.657 0.012 0.650
Cu 0.723 0.499 0.222
Cu 0.988 0.343 0.350
Ni 0.000 0.000 0.500
Ni 0.000 0.500 0.000
Ni 0.500 0.000 0.000



Record 2
Compound: TbCu2Ni3
Source: Alexandria via LeMat-Bulk
Functional: PBE
Structure: relaxed

Results
Its density of states at the Fermi level is 0.5879 states/eV/atom. As for the crystal system: trigonal. Its space group is R-3m, No. 166.

Cell: 7.345 7.345 7.345 Å, 42.62 42.62 42.62°
Sites, in units of the cell vectors:
Tb 0.212 0.212 0.212
Tb 0.788 0.788 0.788
Cu 0.000 0.000 0.000
Cu 0.000 0.500 0.500
Cu 0.500 0.000 0.500
Cu 0.500 0.500 0.000
Ni 0.249 0.721 0.721
Ni 0.279 0.279 0.751
Ni 0.279 0.751 0.279
Ni 0.721 0.249 0.721
Ni 0.721 0.721 0.249
Ni 0.751 0.279 0.279



Record 3
Compound: Tb2Cu9Ni6
Source: Alexandria via LeMat-Bulk
Functional: PBE
Structure: relaxed

Results
Its density of states at the Fermi level is 0.6400 states/eV/atom. As for the crystal system: hexagonal. Its space group is P6/mmm, No. 191.

Cell: 4.901 4.901 12.132 Å, 90.00 90.00 120.00°
Sites, in units of the cell vectors:
Tb 0.000 0.000 0.174
Tb 0.000 0.000 0.826
Cu 0.000 0.500 0.000
Cu 0.000 0.500 0.336
Cu 0.000 0.500 0.664
Cu 0.500 0.000 0.000
Cu 0.500 0.000 0.336
Cu 0.500 0.000 0.664
Cu 0.500 0.500 0.000
Cu 0.500 0.500 0.336
Cu 0.500 0.500 0.664
Ni 0.333 0.667 0.168
Ni 0.333 0.667 0.500
Ni 0.333 0.667 0.832
Ni 0.667 0.333 0.168
Ni 0.667 0.333 0.500
Ni 0.667 0.333 0.832



Record 4
Compound: TbCu4Ni4
Source: Alexandria via LeMat-Bulk
Functional: PBE
Structure: relaxed

Results
Its density of states at the Fermi level is 0.6300 states/eV/atom. As for the crystal system: tetragonal. Its space group is I4/m, No. 87.

Cell: 5.800 5.800 5.800 Å, 97.57 97.57 137.43°
Sites, in units of the cell vectors:
Tb 0.000 0.000 0.000
Cu 0.264 0.357 0.622
Cu 0.357 0.736 0.093
Cu 0.643 0.264 0.907
Cu 0.736 0.643 0.378
Ni 0.067 0.631 0.698
Ni 0.369 0.067 0.435
Ni 0.631 0.933 0.565
Ni 0.933 0.369 0.302



Record 5
Compound: Tb3CuNi3
Source: Alexandria via LeMat-Bulk
Functional: PBE
Structure: relaxed

Results
Its density of states at the Fermi level is 0.6330 states/eV/atom. As for the crystal system: orthorhombic. The energy relative to the lowest polymorph listed for this composition is 0 meV per atom. Its space group is Cmcm, No. 63.

Cell: 5.326 5.326 13.069 Å, 90.00 90.00 134.89°
Sites, in units of the cell vectors:
Tb 0.014 0.986 0.750
Tb 0.296 0.704 0.603
Tb 0.296 0.704 0.897
Tb 0.704 0.296 0.103
Tb 0.704 0.296 0.397
Tb 0.986 0.014 0.250
Cu 0.000 0.000 0.000
Cu 0.000 0.000 0.500
Ni 0.280 0.720 0.250
Ni 0.418 0.582 0.091
Ni 0.418 0.582 0.409
Ni 0.582 0.418 0.591
Ni 0.582 0.418 0.909
Ni 0.720 0.280 0.750



Record 6
Compound: TbCuNi4
Source: Alexandria via LeMat-Bulk
Functional: PBE
Structure: relaxed

Results
Its density of states at the Fermi level is 1.1856 states/eV/atom. As for the crystal system: orthorhombic. The energy relative to the lowest polymorph listed for this composition is 200 meV per atom. Its space group is Cmcm, No. 63.

Cell: 7.651 7.651 5.965 Å, 90.00 90.00 151.37°
Sites, in units of the cell vectors:
Tb 0.110 0.890 0.750
Tb 0.890 0.110 0.250
Cu 0.235 0.765 0.250
Cu 0.765 0.235 0.750
Ni 0.074 0.926 0.250
Ni 0.335 0.665 0.559
Ni 0.335 0.665 0.941
Ni 0.500 0.500 0.000
Ni 0.500 0.500 0.500
Ni 0.665 0.335 0.059
Ni 0.665 0.335 0.441
Ni 0.926 0.074 0.750



One value per record, in order, for calculated volume: 13.037; 13.710; 14.848; 13.662; 18.760; 13.944 Å³ per atom.
One value per record, in order, for DFT total energy: -4.636; -5.138; -4.785; -4.919; -5.449; -5.418 eV/atom.
One value per record, in order, for formation energy from the elements: -0.1103; -0.1104; -0.0317; -0.0141; -0.4021; -0.1091 eV/atom.